(1)
First-principles (PBE) data for a geometry-optimized Pm3TiO6 structure, as listed in Alexandria via LeMat-Bulk.

Summary:
Crystal system: trigonal
Magnetization: 1.00 μB per formula unit
V: 15.2 A^3/atom

Cell lengths 9.7934, 9.7934, 10.9567 Å; angles 90.00, 90.00, 120.00 degrees
Space group R-3 (No. 148, hexagonal axes)
Inequivalent atoms, fractional coordinates:
1 Pm 0.0414 0.7750 0.2008 x18
2 Ti 0.0000 0.0000 0.0000 x3
3 Ti 0.0000 0.0000 0.5000 x3
4 O 0.0275 0.8445 0.8888 x18
5 O 0.0305 0.8265 0.4058 x18

(2)
First-principles (PBE) data for a geometry-optimized Pm3TiO6 structure, as listed in Alexandria via LeMat-Bulk.

Summary:
Crystal system: orthorhombic
Magnetization: 0.98 μB per formula unit
V: 15.0 A^3/atom

Cell lengths 9.2655, 11.4202, 5.6542 Å; angles 90.00, 90.00, 90.00 degrees
Space group Cmc2_1 (No. 36)
Inequivalent atoms, fractional coordinates:
1 Pm 0.0000 0.1021 0.0000 x4
2 Pm 0.1901 0.4002 0.9531 x8
3 Ti 0.0000 0.3113 0.4257 x4
4 O 0.0000 0.2821 0.7537 x4
5 O 0.0000 0.4648 0.2710 x4
6 O 0.1506 0.2412 0.2567 x8
7 O 0.1570 0.0155 0.7261 x8

Ranked by calculated energy, most stable first: (1), (2).